VASP calculation (PBE) on a relaxed structure of Hf7N8.

Values from the calculation:
**Magnetization**: 0.0 μB/f.u.
**E**: -10.83 eV per atom

Structure (POSCAR):
```
Hf7N8
1.0
-4.043 0.612 3.671
-2.844 -4.622 -0.971
2.102 -2.447 5.495
Hf N
7 8
direct
0.480 0.251 0.134 Hf
0.506 0.736 0.377 Hf
0.996 0.999 0.258 Hf
0.005 0.001 0.742 Hf
0.520 0.749 0.866 Hf
0.000 0.500 0.000 Hf
0.494 0.264 0.623 Hf
0.262 0.630 0.174 N
0.741 0.365 0.305 N
0.738 0.370 0.826 N
0.259 0.635 0.695 N
0.249 0.123 0.935 N
0.258 0.110 0.437 N
0.742 0.890 0.563 N
0.751 0.877 0.065 N
```

---

VASP calculation (PBE) on a relaxed structure of Hf3N2.

Values from the calculation:
**Magnetization**: 0.0 μB/f.u.
**E**: -10.78 eV per atom

Structure (POSCAR):
```
Hf3N2
1.0
1.606 0.927 7.756
-1.606 0.927 7.756
0.000 -1.854 7.756
Hf N
3 2
direct
0.000 0.000 0.000 Hf
0.779 0.779 0.779 Hf
0.221 0.221 0.221 Hf
0.612 0.612 0.612 N
0.388 0.388 0.388 N
```

---

Number 1 is which compound? Hf7N8